No. 1
Material: NiBiS2
Method: DFT, GGA-PBE
State: relaxed

POSCAR file:
```
NiBiS2
1.0
1.7337 1.0010 7.2262
-1.7337 1.0010 7.2262
0.0000 -2.0019 7.2262
Ni Bi S
1 1 2
Direct
0.0000 0.0000 0.0000
0.1712 0.1712 0.1712
0.3850 0.3850 0.3850
0.6085 0.6085 0.6085
```

**Space-group type**: R3m
**Spin magnetization**: 0.000 μB/atom

No. 2
Material: NiBi2S2
Method: DFT, GGA-PBE
State: relaxed

POSCAR file:
```
NiBi2S2
1.0
6.3547 0.0000 0.0000
0.0000 6.3547 0.0000
0.0000 0.0000 5.6222
Ni Bi S
2 4 4
Direct
0.0000 0.0000 0.0000
0.5000 0.5000 0.0000
0.1957 0.3043 0.5000
0.3043 0.8043 0.5000
0.6957 0.1957 0.5000
0.8043 0.6957 0.5000
0.1845 0.3155 0.0000
0.3155 0.8155 0.0000
0.6845 0.1845 0.0000
0.8155 0.6845 0.0000
```

**Space-group type**: P4/mbm
**Spin magnetization**: 0.000 μB/atom

No. 3
Material: Ni3BiS2
Method: DFT, GGA-PBE
State: relaxed

POSCAR file:
```
Ni3BiS2
1.0
7.1213 -2.0798 0.0000
7.1213 2.0798 0.0000
-4.1701 0.0000 6.7773
Ni Bi S
6 2 4
Direct
0.0789 0.0789 0.3558
0.3137 0.3137 0.6480
0.3901 0.3901 0.4048
0.6099 0.6099 0.5952
0.6863 0.6863 0.3520
0.9211 0.9211 0.6442
0.1436 0.1436 0.0959
0.8564 0.8564 0.9041
0.1744 0.1744 0.6868
0.4949 0.4949 0.7307
0.5051 0.5051 0.2693
0.8256 0.8256 0.3132
```

**Space-group type**: C2/m
**Spin magnetization**: 0.000 μB/atom

No. 4
Material: Ni2BiS2
Method: DFT, GGA-PBE
State: relaxed

POSCAR file:
```
Ni2BiS2
1.0
-2.1971 2.1971 4.3785
2.1971 -2.1971 4.3785
2.1971 2.1971 -4.3785
Ni Bi S
2 1 2
Direct
0.1645 0.1645 0.0000
0.8355 0.8355 0.0000
0.5000 0.5000 0.0000
0.2500 0.7500 0.5000
0.7500 0.2500 0.5000
```

**Space-group type**: I4/mmm
**Spin magnetization**: 0.000 μB/atom

No. 5
Material: NiBiS2
Method: DFT, GGA-PBE
State: relaxed

POSCAR file:
```
NiBiS2
1.0
2.0971 1.2108 7.1490
-2.0971 1.2108 7.1490
0.0000 -2.4215 7.1490
Ni Bi S
1 1 2
Direct
0.0000 0.0000 0.0000
0.5000 0.5000 0.5000
0.0977 0.0977 0.0977
0.9023 0.9023 0.9023
```

**Space-group type**: R-3m
**Spin magnetization**: 0.250 μB/atom

No. 6
Material: NiBi3S
Method: DFT, GGA-PBE
State: relaxed

POSCAR file:
```
NiBi3S
1.0
5.3196 0.0000 0.0000
0.0000 5.3196 0.0000
0.0000 0.0000 5.3196
Ni Bi S
1 3 1
Direct
0.0000 0.0000 0.0000
0.0000 0.5000 0.5000
0.5000 0.0000 0.5000
0.5000 0.5000 0.0000
0.5000 0.5000 0.5000
```

**Space-group type**: Pm-3m
**Spin magnetization**: 0.000 μB/atom
**Offset from the most stable computed form**: 0.431 eV/atom

No. 7
Material: NiBiS
Method: DFT, GGA-PBE
State: relaxed

POSCAR file:
```
NiBiS
1.0
6.1127 0.0000 0.0000
0.0000 5.5363 0.0000
-0.0941 0.0000 7.2789
Ni Bi S
4 4 4
Direct
0.2012 0.0565 0.3460
0.2012 0.4435 0.8460
0.7988 0.5565 0.1540
0.7988 0.9435 0.6540
0.3954 0.7494 0.6171
0.3954 0.7506 0.1171
0.6046 0.2494 0.8829
0.6046 0.2506 0.3829
0.1202 0.1442 0.6496
0.1202 0.3558 0.1496
0.8798 0.6442 0.8504
0.8798 0.8558 0.3504
```

**Space-group type**: P2_1/c
**Spin magnetization**: 0.000 μB/atom

No. 8
Material: NiBi2S
Method: DFT, GGA-PBE
State: relaxed

POSCAR file:
```
NiBi2S
1.0
-3.0400 3.0400 6.2176
3.0400 -3.0400 6.2176
3.0400 3.0400 -6.2176
Ni Bi S
2 4 2
Direct
0.0000 0.0000 0.0000
0.7500 0.2500 0.5000
0.0793 0.6250 0.9543
0.3750 0.3293 0.4543
0.6707 0.1250 0.0457
0.8750 0.9207 0.5457
0.2500 0.7500 0.5000
0.5000 0.5000 0.0000
```

**Space-group type**: I-42d
**Spin magnetization**: 0.000 μB/atom

No. 9
Material: Ta2NiBi2S6
Method: DFT, GGA-PBE
State: relaxed

POSCAR file:
```
Ta2NiBi2S6
1.0
2.9881 -5.0060 0.0000
2.9881 5.0060 0.0000
-2.4370 0.0000 8.0776
Ta Ni Bi S
2 1 2 6
Direct
0.1894 0.8106 0.0000
0.8106 0.1894 0.0000
0.5000 0.5000 0.0000
0.1770 0.8230 0.5000
0.8230 0.1770 0.5000
0.1196 0.1196 0.8485
0.2365 0.5684 0.1992
0.4316 0.7635 0.8008
0.5684 0.2365 0.1992
0.7635 0.4316 0.8008
0.8804 0.8804 0.1515
```

**Space-group type**: C2/m
**Spin magnetization**: 0.000 μB/atom

No. 10
Material: Ni9BiTeS8
Method: DFT, GGA-PBE
State: relaxed

POSCAR file:
```
Ni9BiTeS8
1.0
7.3342 0.0000 0.0000
0.0000 7.3342 0.0000
0.0000 0.0000 5.3660
Ni Bi Te S
9 1 1 8
Direct
0.0000 0.0000 0.0000
0.1803 0.5000 0.2506
0.1803 0.5000 0.7494
0.5000 0.1803 0.2506
0.5000 0.1803 0.7494
0.5000 0.8197 0.2506
0.5000 0.8197 0.7494
0.8197 0.5000 0.2506
0.8197 0.5000 0.7494
0.0000 0.0000 0.5000
0.5000 0.5000 0.0000
0.0000 0.3151 0.0000
0.0000 0.6849 0.0000
0.2711 0.2711 0.5000
0.2711 0.7289 0.5000
0.3151 0.0000 0.0000
0.6849 0.0000 0.0000
0.7289 0.2711 0.5000
0.7289 0.7289 0.5000
```

**Space-group type**: P4/mmm
**Spin magnetization**: 0.000 μB/atom

No. 11
Material: Tl3NiBi2S6
Method: DFT, GGA-PBE
State: relaxed

POSCAR file:
```
Tl3NiBi2S6
1.0
3.5027 -5.7585 0.0000
3.5027 5.7585 0.0000
-2.2177 0.0000 7.4144
Tl Ni Bi S
3 1 2 6
Direct
0.0000 0.0000 0.0000
0.3230 0.6770 0.0000
0.6770 0.3230 0.0000
0.5000 0.5000 0.5000
0.1648 0.8352 0.5000
0.8352 0.1648 0.5000
0.1673 0.4458 0.3233
0.2573 0.2573 0.7413
0.4458 0.1673 0.3233
0.5542 0.8327 0.6767
0.7427 0.7427 0.2587
0.8327 0.5542 0.6767
```

**Space-group type**: C2/m
**Spin magnetization**: 0.047 μB/atom

No. 12
Material: UNiBi2S5
Method: DFT, GGA-PBE
State: relaxed

POSCAR file:
```
UNiBi2S5
1.0
1.9495 -8.4111 0.0000
1.9495 8.4111 0.0000
0.0000 0.0000 12.8069
U Ni Bi S
2 2 4 10
Direct
0.1897 0.8103 0.5000
0.8103 0.1897 0.0000
0.4316 0.5684 0.8971
0.5684 0.4316 0.3971
0.0973 0.9027 0.0971
0.1093 0.8907 0.7427
0.8907 0.1093 0.2427
0.9027 0.0973 0.5971
0.0368 0.9632 0.4740
0.2788 0.7212 0.1393
0.3026 0.6974 0.8636
0.3537 0.6463 0.4673
0.4947 0.5053 0.7418
0.5053 0.4947 0.2418
0.6463 0.3537 0.9673
0.6974 0.3026 0.3636
0.7212 0.2788 0.6393
0.9632 0.0368 0.9740
```

**Space-group type**: Cmc2_1
**Spin magnetization**: 0.083 μB/atom

| no. | raw formation energy (meV per atom) |
| --- | --- |
| 1 | -162 |
| 2 | -1 |
| 3 | -188 |
| 4 | 41 |
| 5 | -4 |
| 6 | 855 |
| 7 | -178 |
| 8 | 126 |
| 9 | -524 |
| 10 | -333 |
| 11 | -287 |
| 12 | -607 |